Run a
Density functional theory data (PBE-GGA) for a relaxed structure of AsPd2I.

abc: 4.7654 4.7654 4.7654
angles: 60.00 60.00 60.00
With the nearest neighbours (Å) after each atom.
Element x y z (fractional)
I: 0.5000 0.5000 0.5000  8 Pd 2.92
As: 0.0000 0.0000 0.0000  8 Pd 2.92
Pd: 0.2500 0.2500 0.2500  4 As 2.92, 4 I 2.92
Pd: 0.7500 0.7500 0.7500  4 I 2.92, 4 As 2.92



Run b
Density functional theory data (PBE-GGA) for a relaxed structure of AsPd2I.

abc: 6.5825 6.5825 6.5102
angles: 59.63 59.63 90.00
With the nearest neighbours (Å) after each atom.
Element x y z (fractional)
I: 0.0000 0.0000 0.0000  4 Pd 2.80
I: 0.7500 0.2500 0.5000  4 Pd 2.80
As: 0.5000 0.5000 0.0000  4 Pd 2.40
As: 0.2500 0.7500 0.5000  4 Pd 2.40
Pd: 0.5771 0.1250 0.2500  2 As 2.40
Pd: 0.1729 0.6250 0.2500  2 As 2.40
Pd: 0.3750 0.4229 0.7500  2 As 2.40
Pd: 0.8750 0.8271 0.7500  2 As 2.40



Most favorable first, least favorable last: run b, run a



Run a
Density functional theory data (PBE-GGA) for a relaxed structure of AsPdI3.

abc: 5.6833 5.6833 5.6833
angles: 90.00 90.00 90.00
With the nearest neighbours (Å) after each atom.
Element x y z (fractional)
I: 0.0000 0.5000 0.0000  2 As 2.84
I: 0.0000 0.0000 0.5000  2 As 2.84
I: 0.5000 0.0000 0.0000  2 As 2.84
As: 0.0000 0.0000 0.0000  6 I 2.84
Pd: 0.5000 0.5000 0.5000  12 I 4.02



Run b
Density functional theory data (PBE-GGA) for a relaxed structure of AsPdI3.

abc: 5.4825 5.4825 5.4825
angles: 90.00 90.00 90.00
With the nearest neighbours (Å) after each atom.
Element x y z (fractional)
I: 0.0000 0.5000 0.0000  2 Pd 2.74
I: 0.0000 0.0000 0.5000  2 Pd 2.74
I: 0.5000 0.0000 0.0000  2 Pd 2.74
As: 0.5000 0.5000 0.5000  12 I 3.88
Pd: 0.0000 0.0000 0.0000  6 I 2.74



Most favorable first, least favorable last: run b, run a



Run a
Density functional theory data (PBE-GGA) for a relaxed structure of AsPdI.

abc: 3.8755 3.8755 5.4848
angles: 90.00 90.00 120.00
With the nearest neighbours (Å) after each atom.
Element x y z (fractional)
I: 0.0000 0.0000 0.9556  3 Pd 2.85
As: 0.6667 0.3333 0.4104  3 Pd 2.55
Pd: 0.3333 0.6667 0.6340  3 As 2.55, 3 I 2.85



Run b
Density functional theory data (PBE-GGA) for a relaxed structure of AsPdI.

abc: 3.7515 6.7906 7.8150
angles: 56.37 76.11 73.96
With the nearest neighbours (Å) after each atom.
Element x y z (fractional)
As: 0.3284 0.8013 0.5419  3 Pd 2.46-2.52
As: 0.6716 0.1987 0.4581  3 Pd 2.46-2.52
Pd: 0.1268 0.0275 0.7190  3 As 2.46-2.52
Pd: 0.8732 0.9725 0.2810  3 As 2.46-2.52
I: 0.8998 0.3404 0.8600  2 Pd 2.76-2.82
I: 0.1002 0.6596 0.1400  2 Pd 2.76-2.82



Run c
Density functional theory data (PBE-GGA) for a relaxed structure of AsPdI.

abc: 7.4040 6.4234 6.7738
angles: 106.23 90.00 90.00
With the nearest neighbours (Å) after each atom.
Element x y z (fractional)
As: 0.6219 0.8815 0.5994  3 Pd 2.45-2.61
As: 0.3781 0.1185 0.4006  3 Pd 2.45-2.61
As: 0.1219 0.6185 0.4006  3 Pd 2.45-2.61
As: 0.8781 0.3815 0.5994  3 Pd 2.45-2.61
Pd: 0.0634 0.2273 0.2865  3 As 2.45-2.61
Pd: 0.4366 0.7273 0.2865  3 As 2.45-2.61
Pd: 0.9366 0.7727 0.7135  3 As 2.45-2.61
Pd: 0.5634 0.2727 0.7135  3 As 2.45-2.61
I: 0.5887 0.3151 0.1487  2 Pd 2.79-2.89, 1 As 2.85
I: 0.4113 0.6849 0.8513  2 Pd 2.79-2.89, 1 As 2.85
I: 0.9113 0.8151 0.1487  2 Pd 2.79-2.89, 1 As 2.85
I: 0.0887 0.1849 0.8513  2 Pd 2.79-2.89, 1 As 2.85



Most favorable first, least favorable last: run b, run c, run a



Run a
Density functional theory data (PBE-GGA) for a relaxed structure of Sb2AsPdI.

abc: 5.2382 5.2382 5.3326
angles: 90.00 90.00 90.00
With the nearest neighbours (Å) after each atom.
Element x y z (fractional)
I: 0.0000 0.0000 0.5000  2 Pd 2.67
Sb: 0.0000 0.5000 0.0000  2 Pd 2.62
Sb: 0.5000 0.0000 0.0000  2 Pd 2.62
As: 0.5000 0.5000 0.5000  4 I 3.70, 8 Sb 3.74
Pd: 0.0000 0.0000 0.0000  4 Sb 2.62, 2 I 2.67



Run b
Density functional theory data (PBE-GGA) for a relaxed structure of Sb2AsPdI.

abc: 5.3889 5.3889 5.4665
angles: 90.00 90.00 90.00
With the nearest neighbours (Å) after each atom.
Element x y z (fractional)
I: 0.0000 0.0000 0.5000  2 As 2.73
Sb: 0.0000 0.5000 0.0000  2 As 2.69
Sb: 0.5000 0.0000 0.0000  2 As 2.69
As: 0.0000 0.0000 0.0000  4 Sb 2.69, 2 I 2.73
Pd: 0.5000 0.5000 0.5000  4 I 3.81, 8 Sb 3.84



Most favorable first, least favorable last: run a, run b



Run a
Density functional theory data (PBE-GGA) for a relaxed structure of Te2AsPdI.

abc: 5.4779 5.4779 5.5049
angles: 90.00 90.00 90.00
With the nearest neighbours (Å) after each atom.
Element x y z (fractional)
I: 0.0000 0.0000 0.5000  2 As 2.75
As: 0.0000 0.0000 0.0000  4 Te 2.74, 2 I 2.75
Te: 0.0000 0.5000 0.0000  2 As 2.74
Te: 0.5000 0.0000 0.0000  2 As 2.74
Pd: 0.5000 0.5000 0.5000  4 I 3.87, 8 Te 3.88



Run b
Density functional theory data (PBE-GGA) for a relaxed structure of Te2AsPdI.

abc: 5.2748 5.2748 5.3498
angles: 90.00 90.00 90.00
With the nearest neighbours (Å) after each atom.
Element x y z (fractional)
I: 0.0000 0.0000 0.5000  2 Pd 2.67
As: 0.5000 0.5000 0.5000  4 I 3.73, 8 Te 3.76
Te: 0.0000 0.5000 0.0000  2 Pd 2.64
Te: 0.5000 0.0000 0.0000  2 Pd 2.64
Pd: 0.0000 0.0000 0.0000  4 Te 2.64, 2 I 2.67



Most favorable first, least favorable last: run b, run a



Run a
Density functional theory data (PBE-GGA) for a relaxed structure of Pm2AsI.

abc: 4.2168 4.2168 8.1373
angles: 74.98 74.98 60.00
With the nearest neighbours (Å) after each atom.
Element x y z (fractional)
Pm: 0.0668 0.0668 0.7996  3 As 2.87
Pm: 0.2662 0.2662 0.2014  3 As 2.91
As: 0.6679 0.6679 0.9962  6 Pm 2.87-2.91
I: 0.4991 0.4991 0.5028  6 Pm 3.35-3.38



Run b
Density functional theory data (PBE-GGA) for a relaxed structure of Pm2AsI.

abc: 3.7515 3.7515 7.7122
angles: 90.00 90.00 90.00
With the nearest neighbours (Å) after each atom.
Element x y z (fractional)
I: 0.5000 0.5000 0.5000  8 Pm 3.44, 4 I 3.75
As: 0.5000 0.5000 0.0000  8 Pm 3.14
Pm: 0.0000 0.0000 0.7832  4 As 3.14, 1 Pm 3.34, 4 I 3.44
Pm: 0.0000 0.0000 0.2168  4 As 3.14, 1 Pm 3.34, 4 I 3.44



Most favorable first, least favorable last: run a, run b



Run a
Density functional theory data (PBE-GGA) for a relaxed structure of As2Pt2I.

abc: 7.7280 7.7280 3.4464
angles: 90.00 90.00 90.00
With the nearest neighbours (Å) after each atom.
Element x y z (fractional)
I: 0.0000 0.0000 0.0000  4 Pt 3.03
I: 0.5000 0.5000 0.0000  4 Pt 3.03
As: 0.1327 0.6327 0.5000  4 Pt 2.66, 1 As 2.90
As: 0.6327 0.8673 0.5000  4 Pt 2.66, 1 As 2.90
As: 0.8673 0.3673 0.5000  4 Pt 2.66, 1 As 2.90
As: 0.3673 0.1327 0.5000  4 Pt 2.66, 1 As 2.90
Pt: 0.3708 0.8708 0.0000  4 As 2.66, 1 Pt 2.82
Pt: 0.8708 0.6292 0.0000  4 As 2.66, 1 Pt 2.82
Pt: 0.6292 0.1292 0.0000  4 As 2.66, 1 Pt 2.82
Pt: 0.1292 0.3708 0.0000  4 As 2.66, 1 Pt 2.82



Run b
Density functional theory data (PBE-GGA) for a relaxed structure of As2Pt2I.

abc: 8.6974 8.6974 2.9494
angles: 90.00 90.00 90.00
With the nearest neighbours (Å) after each atom.
Element x y z (fractional)
I: 0.0000 0.0000 0.0000  2 I 2.95
I: 0.5000 0.5000 0.0000  2 I 2.95
As: 0.3754 0.8754 0.0000  4 Pt 2.62
As: 0.8754 0.6246 0.0000  4 Pt 2.62
As: 0.6246 0.1246 0.0000  4 Pt 2.62
As: 0.1246 0.3754 0.0000  4 Pt 2.62
Pt: 0.1243 0.6243 0.5000  4 As 2.62
Pt: 0.6243 0.8757 0.5000  4 As 2.62
Pt: 0.8757 0.3757 0.5000  4 As 2.62
Pt: 0.3757 0.1243 0.5000  4 As 2.62



Run c
Density functional theory data (PBE-GGA) for a relaxed structure of As2Pt2I.

abc: 3.9215 3.9215 8.1494
angles: 76.08 76.08 90.00
With the nearest neighbours (Å) after each atom.
Element x y z (fractional)
I: 0.0000 0.0000 0.0000  8 As 3.54, 4 I 3.92
As: 0.3562 0.3562 0.2876  4 Pt 2.55
As: 0.6438 0.6438 0.7124  4 Pt 2.55
Pt: 0.7500 0.2500 0.5000  4 As 2.55, 4 Pt 2.77
Pt: 0.2500 0.7500 0.5000  4 As 2.55, 4 Pt 2.77



Most favorable first, least favorable last: run c, run a, run b



Run a
Density functional theory data (PBE-GGA) for a relaxed structure of Sb2AsPtI.

abc: 5.3692 5.3692 5.2987
angles: 90.00 90.00 90.00
With the nearest neighbours (Å) after each atom.
Element x y z (fractional)
I: 0.0000 0.0000 0.5000  2 As 2.65
Sb: 0.0000 0.5000 0.0000  2 As 2.68
Sb: 0.5000 0.0000 0.0000  2 As 2.68
As: 0.0000 0.0000 0.0000  2 I 2.65, 4 Sb 2.68
Pt: 0.5000 0.5000 0.5000  8 Sb 3.77, 4 I 3.80



Run b
Density functional theory data (PBE-GGA) for a relaxed structure of Sb2AsPtI.

abc: 5.2555 5.2555 5.3941
angles: 90.00 90.00 90.00
With the nearest neighbours (Å) after each atom.
Element x y z (fractional)
I: 0.0000 0.0000 0.5000  2 Pt 2.70
Sb: 0.0000 0.5000 0.0000  2 Pt 2.63
Sb: 0.5000 0.0000 0.0000  2 Pt 2.63
As: 0.5000 0.5000 0.5000  4 I 3.72, 8 Sb 3.77
Pt: 0.0000 0.0000 0.0000  4 Sb 2.63, 2 I 2.70



Most favorable first, least favorable last: run b, run a